# ZrAlRe2Sn | Alexandria via LeMat-Bulk | PBE | relaxed
# Fermi-level density of states = 5.73 states/eV per cell
# E = -6.34 eV per atom
# Energy of formation = 1898 meV per atom
# Space group = No. 123
# Spin magnetization = 0.030 μB/atom
data_ZrAlRe2Sn
_cell_length_a 4.849
_cell_length_b 4.849
_cell_length_c 5.089
_cell_angle_alpha 90.00
_cell_angle_beta 90.00
_cell_angle_gamma 90.00
_space_group_name_H-M_alt 'P 1'
_space_group_IT_number 1
loop_
_space_group_symop_operation_xyz
'x,y,z'
loop_
_atom_site_label
_atom_site_fract_x
_atom_site_fract_y
_atom_site_fract_z
Zr1 0.000 0.000 0.000
Al1 0.000 0.000 0.500
Re1 0.000 0.500 0.000
Re2 0.500 0.000 0.000
Sn1 0.500 0.500 0.500

---

# Sr2AlRe | Alexandria via LeMat-Bulk | PBE | relaxed
# Fermi-level density of states = 5.01 states/eV per cell
# E = -3.90 eV per atom
# Energy of formation = 987 meV per atom
# Space group = No. 12
# Spin magnetization = 0.081 μB/atom
data_Sr2AlRe
_cell_length_a 5.226
_cell_length_b 5.226
_cell_length_c 7.041
_cell_angle_alpha 94.63
_cell_angle_beta 94.63
_cell_angle_gamma 32.84
_space_group_name_H-M_alt 'P 1'
_space_group_IT_number 1
loop_
_space_group_symop_operation_xyz
'x,y,z'
loop_
_atom_site_label
_atom_site_fract_x
_atom_site_fract_y
_atom_site_fract_z
Sr1 0.247 0.247 0.239
Sr2 0.753 0.753 0.761
Al1 0.000 0.000 0.500
Re1 0.500 0.500 0.000

---

# Sr3AlRe | Alexandria via LeMat-Bulk | PBE | relaxed
# Fermi-level density of states = 3.17 states/eV per cell
# E = -3.37 eV per atom
# Energy of formation = 880 meV per atom
# Space group = No. 221
# Spin magnetization = 0.000 μB/atom
data_Sr3AlRe
_cell_length_a 5.758
_cell_length_b 5.758
_cell_length_c 5.758
_cell_angle_alpha 90.00
_cell_angle_beta 90.00
_cell_angle_gamma 90.00
_space_group_name_H-M_alt 'P 1'
_space_group_IT_number 1
loop_
_space_group_symop_operation_xyz
'x,y,z'
loop_
_atom_site_label
_atom_site_fract_x
_atom_site_fract_y
_atom_site_fract_z
Sr1 0.000 0.000 0.500
Sr2 0.000 0.500 0.000
Sr3 0.500 0.000 0.000
Al1 0.500 0.500 0.500
Re1 0.000 0.000 0.000

---

# SrAl2Re | Alexandria via LeMat-Bulk | PBE | relaxed
# Fermi-level density of states = 5.68 states/eV per cell
# E = -4.99 eV per atom
# Energy of formation = 417 meV per atom
# Space group = No. 225
# Spin magnetization = 0.000 μB/atom
data_SrAl2Re
_cell_length_a 4.761
_cell_length_b 4.761
_cell_length_c 4.761
_cell_angle_alpha 60.00
_cell_angle_beta 60.00
_cell_angle_gamma 60.00
_space_group_name_H-M_alt 'P 1'
_space_group_IT_number 1
loop_
_space_group_symop_operation_xyz
'x,y,z'
loop_
_atom_site_label
_atom_site_fract_x
_atom_site_fract_y
_atom_site_fract_z
Sr1 0.000 0.000 0.000
Al1 0.250 0.250 0.250
Al2 0.750 0.750 0.750
Re1 0.500 0.500 0.500

---

# SrAlRe2 | Alexandria via LeMat-Bulk | PBE | relaxed
# Fermi-level density of states = 4.37 states/eV per cell
# E = -6.51 eV per atom
# Energy of formation = 1066 meV per atom
# Space group = No. 139
# Spin magnetization = 0.000 μB/atom
data_SrAlRe2
_cell_length_a 5.445
_cell_length_b 5.445
_cell_length_c 5.445
_cell_angle_alpha 136.64
_cell_angle_beta 136.64
_cell_angle_gamma 62.99
_space_group_name_H-M_alt 'P 1'
_space_group_IT_number 1
loop_
_space_group_symop_operation_xyz
'x,y,z'
loop_
_atom_site_label
_atom_site_fract_x
_atom_site_fract_y
_atom_site_fract_z
Sr1 0.000 0.000 0.000
Al1 0.500 0.500 0.000
Re1 0.250 0.750 0.500
Re2 0.750 0.250 0.500

---

# Sr2AlRe | Alexandria via LeMat-Bulk | PBE | relaxed
# Fermi-level density of states = 3.65 states/eV per cell
# E = -4.45 eV per atom
# Energy of formation = 441 meV per atom
# Space group = No. 38
# Spin magnetization = 0.000 μB/atom
data_Sr2AlRe
_cell_length_a 4.404
_cell_length_b 6.232
_cell_length_c 6.232
_cell_angle_alpha 44.56
_cell_angle_beta 90.00
_cell_angle_gamma 90.00
_space_group_name_H-M_alt 'P 1'
_space_group_IT_number 1
loop_
_space_group_symop_operation_xyz
'x,y,z'
loop_
_atom_site_label
_atom_site_fract_x
_atom_site_fract_y
_atom_site_fract_z
Sr1 0.000 0.000 0.000
Sr2 0.500 0.284 0.284
Al1 0.000 0.692 0.692
Re1 0.500 0.592 0.592